Entry 1:
LaCrCu2: relaxed, PBEsol.

a b c (Å): 4.194 4.194 7.854
angles (deg): 90.00 90.00 90.00
Fractional coordinates of all 8 atoms:
La: 0.000 0.000 0.000
La: 0.500 0.500 0.500
Cr: 0.000 0.500 0.250
Cr: 0.500 0.000 0.750
Cu: 0.000 0.000 0.500
Cu: 0.000 0.500 0.750
Cu: 0.500 0.000 0.250
Cu: 0.500 0.500 0.000

## Properties
spin magnetization	3.5	μB/f.u.
ρ	7.64	g cm⁻³
volume	138.2	Å³ per cell
energy above the most stable polymorph in this dataset	0.0718	eV/atom

=====

Entry 2:
LaCr2Cu2: relaxed, PBEsol.

a b c (Å): 3.548 3.548 12.465
angles (deg): 90.00 90.00 90.00
Fractional coordinates of all 10 atoms:
La: 0.000 0.000 0.000
La: 0.500 0.500 0.500
Cr: 0.000 0.500 0.250
Cr: 0.000 0.500 0.750
Cr: 0.500 0.000 0.250
Cr: 0.500 0.000 0.750
Cu: 0.000 0.000 0.392
Cu: 0.000 0.000 0.608
Cu: 0.500 0.500 0.108
Cu: 0.500 0.500 0.892

## Properties
spin magnetization	0.0	μB/f.u.
ρ	7.83	g cm⁻³
volume	156.9	Å³ per cell
total DFT energy (no corrections)	-64.4	eV/cell

=====

Entry 3:
LaCrCu2: relaxed, PBEsol.

a b c (Å): 4.486 4.486 3.550
angles (deg): 90.00 90.00 90.00
Fractional coordinates of all 4 atoms:
La: 0.000 0.000 0.000
Cr: 0.500 0.500 0.000
Cu: 0.000 0.500 0.500
Cu: 0.500 0.000 0.500

## Properties
spin magnetization	3.3	μB/f.u.
ρ	7.39	g cm⁻³
volume	71.4	Å³ per cell
energy above the most stable polymorph in this dataset	0.0970	eV/atom

=====

Which of these has the lowest ρ? number 3